(1)
Density functional theory data (GGA-PBEsol) for a relaxed structure of KNb2Pt.

abc: 6.576 6.576 6.576
angles: 90.00 90.00 90.00
Space group Fm-3m (No. 225)
Unique sites:
K 0.000 0.000 0.000 [4 per cell]
Nb 0.250 0.250 0.250 [8 per cell]
Pt 0.000 0.000 0.500 [4 per cell]

The formation energy is 3.3 eV per formula unit.

=====

(2)
Density functional theory data (GGA-PBEsol) for a relaxed structure of K2RbYNb.

abc: 7.102 7.102 5.140
angles: 90.00 90.00 90.00
Space group P4/mmm (No. 123)
Unique sites:
K 0.000 0.500 0.000 [2 per cell]
Rb 0.000 0.000 0.500 [1 per cell]
Y 0.500 0.500 0.000 [1 per cell]
Nb 0.500 0.500 0.500 [1 per cell]

The formation energy is 5.9 eV per formula unit.

=====

(3)
Density functional theory data (GGA-PBEsol) for a relaxed structure of KRb2ZrNb.

abc: 5.930 5.930 6.112
angles: 90.00 90.00 90.00
Space group P4/mmm (No. 123)
Unique sites:
K 0.000 0.000 0.000 [1 per cell]
Rb 0.000 0.500 0.000 [2 per cell]
Zr 0.500 0.500 0.500 [1 per cell]
Nb 0.000 0.000 0.500 [1 per cell]

The formation energy is 10.7 eV per formula unit.

=====

(4)
Density functional theory data (GGA-PBEsol) for a relaxed structure of K3NbRe.

abc: 6.203 6.203 6.203
angles: 90.00 90.00 90.00
Space group Pm-3m (No. 221)
Unique sites:
K 0.000 0.000 0.500 [3 per cell]
Nb 0.500 0.500 0.500 [1 per cell]
Re 0.000 0.000 0.000 [1 per cell]

The formation energy is 12.9 eV per formula unit.